Entry from Alexandria via LeMat-Bulk: a PBEsol-optimized structure of Ca2LaPbS (meta-GGA SCAN).

Geometry as CIF:
```
data_Ca2LaPbS
_cell_length_a 6.018
_cell_length_b 6.018
_cell_length_c 5.693
_cell_angle_alpha 90.00
_cell_angle_beta 90.00
_cell_angle_gamma 90.00
_symmetry_space_group_name_H-M 'P 4/m m m'
_symmetry_Int_Tables_number 123
_symmetry_space_group_name_Hall '-P 4 2'
loop_
_atom_site_label
_atom_site_fract_x
_atom_site_fract_y
_atom_site_fract_z
Ca1 0.000 0.500 0.000
La1 0.000 0.000 0.000
Pb1 0.000 0.000 0.500
S1 0.500 0.500 0.500
```

Output
Uncorrected energy ... -28.786 eV per atom
Formation energy without anion corrections ... 3.9 eV per formula unit
Size of the total moment ... 3.07 μB/f.u.
Calculated volume ... 41.24 A^3/atom

Entry from Alexandria via LeMat-Bulk: a PBEsol-optimized structure of CaLa2TiPb (meta-GGA SCAN).

Geometry as CIF:
```
data_CaLa2TiPb
_cell_length_a 5.395
_cell_length_b 5.395
_cell_length_c 5.517
_cell_angle_alpha 90.00
_cell_angle_beta 90.00
_cell_angle_gamma 90.00
_symmetry_space_group_name_H-M 'P 4/m m m'
_symmetry_Int_Tables_number 123
_symmetry_space_group_name_Hall '-P 4 2'
loop_
_atom_site_label
_atom_site_fract_x
_atom_site_fract_y
_atom_site_fract_z
Ca1 0.000 0.000 0.000
La1 0.000 0.500 0.500
Ti1 0.500 0.500 0.500
Pb1 0.500 0.500 0.000
```

Output
Calculated formation energy ... 0.07 eV per atom
Uncorrected energy ... -37.470 eV per atom
Size of the total moment ... 0.00 μB/f.u.
Calculated volume ... 32.11 A^3/atom

Entry from Alexandria via LeMat-Bulk: a PBEsol-optimized structure of Ca3LaPd (meta-GGA SCAN).

Geometry as CIF:
```
data_Ca3LaPd
_cell_length_a 5.558
_cell_length_b 5.558
_cell_length_c 5.558
_cell_angle_alpha 90.00
_cell_angle_beta 90.00
_cell_angle_gamma 90.00
_symmetry_space_group_name_H-M 'P m -3 m'
_symmetry_Int_Tables_number 221
_symmetry_space_group_name_Hall '-P 4 2 3'
loop_
_atom_site_label
_atom_site_fract_x
_atom_site_fract_y
_atom_site_fract_z
Ca1 0.000 0.000 0.500
La1 0.500 0.500 0.500
Pd1 0.000 0.000 0.000
```

Output
Calculated formation energy ... -0.21 eV per atom
Uncorrected energy ... -21.184 eV per atom
Size of the total moment ... 0.00 μB/f.u.
Calculated volume ... 34.35 A^3/atom

Entry from Alexandria via LeMat-Bulk: a PBEsol-optimized structure of Ca2LaPt2 (meta-GGA SCAN).

Geometry as CIF:
```
data_Ca2LaPt2
_cell_length_a 7.485
_cell_length_b 7.485
_cell_length_c 4.389
_cell_angle_alpha 90.00
_cell_angle_beta 90.00
_cell_angle_gamma 90.00
_symmetry_space_group_name_H-M 'P 4/m b m'
_symmetry_Int_Tables_number 127
_symmetry_space_group_name_Hall '-P 4 2ab'
loop_
_atom_site_label
_atom_site_fract_x
_atom_site_fract_y
_atom_site_fract_z
Ca1 0.162 0.338 0.000
La1 0.000 0.000 0.500
Pt1 0.130 0.630 0.500
```

Output
Calculated formation energy ... -0.99 eV per atom
Uncorrected energy ... -41.551 eV per atom
Size of the total moment ... 0.02 μB/f.u.
Calculated volume ... 24.59 A^3/atom

Entry from Alexandria via LeMat-Bulk: a PBEsol-optimized structure of CaLaPt (meta-GGA SCAN).

Geometry as CIF:
```
data_CaLaPt
_cell_length_a 4.078
_cell_length_b 4.078
_cell_length_c 5.760
_cell_angle_alpha 90.00
_cell_angle_beta 90.00
_cell_angle_gamma 90.00
_symmetry_space_group_name_H-M 'P 4/m m m'
_symmetry_Int_Tables_number 123
_symmetry_space_group_name_Hall '-P 4 2'
loop_
_atom_site_label
_atom_site_fract_x
_atom_site_fract_y
_atom_site_fract_z
Ca1 0.000 0.000 0.000
La1 0.500 0.500 0.500
Pt1 0.000 0.000 0.500
```

Output
Calculated formation energy ... -0.97 eV per atom
Uncorrected energy ... -41.961 eV per atom
Size of the total moment ... 0.00 μB/f.u.
Relative energy among the computed polymorphs ... 0 meV/atom
Calculated volume ... 31.93 A^3/atom

Entry from Alexandria via LeMat-Bulk: a PBEsol-optimized structure of CaLa2Pt2 (meta-GGA SCAN).

Geometry as CIF:
```
data_CaLa2Pt2
_cell_length_a 7.928
_cell_length_b 7.928
_cell_length_c 4.039
_cell_angle_alpha 90.00
_cell_angle_beta 90.00
_cell_angle_gamma 90.00
_symmetry_space_group_name_H-M 'P 4/m b m'
_symmetry_Int_Tables_number 127
_symmetry_space_group_name_Hall '-P 4 2ab'
loop_
_atom_site_label
_atom_site_fract_x
_atom_site_fract_y
_atom_site_fract_z
Ca1 0.000 0.000 0.000
La1 0.160 0.340 0.500
Pt1 0.137 0.637 0.000
```

Output
Calculated formation energy ... -1.12 eV per atom
Uncorrected energy ... -48.376 eV per atom
Size of the total moment ... 0.00 μB/f.u.
Calculated volume ... 25.39 A^3/atom

Entry from Alexandria via LeMat-Bulk: a PBEsol-optimized structure of CaLaPt (meta-GGA SCAN).

Geometry as CIF:
```
data_CaLaPt
_cell_length_a 6.994
_cell_length_b 6.994
_cell_length_c 6.994
_cell_angle_alpha 90.00
_cell_angle_beta 90.00
_cell_angle_gamma 90.00
_symmetry_space_group_name_H-M 'F -4 3 m'
_symmetry_Int_Tables_number 216
_symmetry_space_group_name_Hall 'F -4 2 3'
loop_
_atom_site_label
_atom_site_fract_x
_atom_site_fract_y
_atom_site_fract_z
Ca1 0.000 0.000 0.000
La1 0.000 0.000 0.500
Pt1 0.250 0.250 0.750
```

Output
Calculated formation energy ... -0.93 eV per atom
Uncorrected energy ... -41.914 eV per atom
Size of the total moment ... 0.00 μB/f.u.
Relative energy among the computed polymorphs ... 47 meV/atom
Calculated volume ... 28.51 A^3/atom

Entry from Alexandria via LeMat-Bulk: a PBEsol-optimized structure of RbCaLa2 (meta-GGA SCAN).

Geometry as CIF:
```
data_RbCaLa2
_cell_length_a 8.724
_cell_length_b 8.724
_cell_length_c 8.724
_cell_angle_alpha 90.00
_cell_angle_beta 90.00
_cell_angle_gamma 90.00
_symmetry_space_group_name_H-M 'F m -3 m'
_symmetry_Int_Tables_number 225
_symmetry_space_group_name_Hall '-F 4 2 3'
loop_
_atom_site_label
_atom_site_fract_x
_atom_site_fract_y
_atom_site_fract_z
Rb1 0.000 0.000 0.000
Ca1 0.000 0.000 0.500
La1 0.250 0.250 0.250
```

Output
Calculated formation energy ... 0.49 eV per atom
Uncorrected energy ... -28.659 eV per atom
Size of the total moment ... 0.00 μB/f.u.
Calculated volume ... 41.50 A^3/atom

Entry from Alexandria via LeMat-Bulk: a PBEsol-optimized structure of Rb2CaLaSi (meta-GGA SCAN).

Geometry as CIF:
```
data_Rb2CaLaSi
_cell_length_a 6.796
_cell_length_b 6.796
_cell_length_c 5.640
_cell_angle_alpha 90.00
_cell_angle_beta 90.00
_cell_angle_gamma 90.00
_symmetry_space_group_name_H-M 'P 4/m m m'
_symmetry_Int_Tables_number 123
_symmetry_space_group_name_Hall '-P 4 2'
loop_
_atom_site_label
_atom_site_fract_x
_atom_site_fract_y
_atom_site_fract_z
Rb1 0.000 0.500 0.000
Ca1 0.000 0.000 0.500
La1 0.500 0.500 0.500
Si1 0.500 0.500 0.000
```

Output
Uncorrected energy ... -20.463 eV per atom
Formation energy without anion corrections ... 1.9 eV per formula unit
Size of the total moment ... 0.00 μB/f.u.
Calculated volume ... 52.10 A^3/atom

Entry from Alexandria via LeMat-Bulk: a PBEsol-optimized structure of CaLaRe2 (meta-GGA SCAN).

Geometry as CIF:
```
data_CaLaRe2
_cell_length_a 3.918
_cell_length_b 3.918
_cell_length_c 6.300
_cell_angle_alpha 90.00
_cell_angle_beta 90.00
_cell_angle_gamma 90.00
_symmetry_space_group_name_H-M 'P 4/m m m'
_symmetry_Int_Tables_number 123
_symmetry_space_group_name_Hall '-P 4 2'
loop_
_atom_site_label
_atom_site_fract_x
_atom_site_fract_y
_atom_site_fract_z
Ca1 0.000 0.000 0.000
La1 0.000 0.000 0.500
Re1 0.500 0.500 0.315
```

Output
Calculated formation energy ... 0.86 eV per atom
Uncorrected energy ... -47.877 eV per atom
Size of the total moment ... 0.00 μB/f.u.
Calculated volume ... 24.17 A^3/atom

Entry from Alexandria via LeMat-Bulk: a PBEsol-optimized structure of CaLaRe2 (meta-GGA SCAN).

Geometry as CIF:
```
data_CaLaRe2
_cell_length_a 3.295
_cell_length_b 4.685
_cell_length_c 9.977
_cell_angle_alpha 90.00
_cell_angle_beta 90.00
_cell_angle_gamma 90.00
_symmetry_space_group_name_H-M 'C m m m'
_symmetry_Int_Tables_number 65
_symmetry_space_group_name_Hall '-C 2 2'
loop_
_atom_site_label
_atom_site_fract_x
_atom_site_fract_y
_atom_site_fract_z
Ca1 0.000 0.000 0.000
La1 0.000 0.000 0.500
Re1 0.000 0.500 0.247
```

Output
Calculated formation energy ... 0.88 eV per atom
Uncorrected energy ... -47.860 eV per atom
Size of the total moment ... 0.00 μB/f.u.
Calculated volume ... 19.25 A^3/atom

Entry from Alexandria via LeMat-Bulk: a PBEsol-optimized structure of CaLa2ScRe (meta-GGA SCAN).

Geometry as CIF:
```
data_CaLa2ScRe
_cell_length_a 5.682
_cell_length_b 5.682
_cell_length_c 4.715
_cell_angle_alpha 90.00
_cell_angle_beta 90.00
_cell_angle_gamma 90.00
_symmetry_space_group_name_H-M 'P 4/m m m'
_symmetry_Int_Tables_number 123
_symmetry_space_group_name_Hall '-P 4 2'
loop_
_atom_site_label
_atom_site_fract_x
_atom_site_fract_y
_atom_site_fract_z
Ca1 0.000 0.000 0.000
La1 0.000 0.500 0.500
Sc1 0.500 0.500 0.500
Re1 0.500 0.500 0.000
```

Output
Calculated formation energy ... 0.87 eV per atom
Uncorrected energy ... -35.373 eV per atom
Size of the total moment ... 0.00 μB/f.u.
Calculated volume ... 30.45 A^3/atom

Entry from Alexandria via LeMat-Bulk: a PBEsol-optimized structure of CaLaRh (meta-GGA SCAN).

Geometry as CIF:
```
data_CaLaRh
_cell_length_a 4.929
_cell_length_b 4.936
_cell_length_c 13.317
_cell_angle_alpha 90.00
_cell_angle_beta 90.00
_cell_angle_gamma 90.00
_symmetry_space_group_name_H-M 'F m m 2'
_symmetry_Int_Tables_number 42
_symmetry_space_group_name_Hall 'F 2 -2'
loop_
_atom_site_label
_atom_site_fract_x
_atom_site_fract_y
_atom_site_fract_z
Ca1 0.000 0.000 0.000
La1 0.000 0.000 0.251
Rh1 0.000 0.000 0.637
```

Output
Calculated formation energy ... -0.49 eV per atom
Uncorrected energy ... -29.336 eV per atom
Size of the total moment ... 0.00 μB/f.u.
Relative energy among the computed polymorphs ... 11 meV/atom
Calculated volume ... 27.00 A^3/atom

Entry from Alexandria via LeMat-Bulk: a PBEsol-optimized structure of CaLa2Rh2 (meta-GGA SCAN).

Geometry as CIF:
```
data_CaLa2Rh2
_cell_length_a 4.916
_cell_length_b 4.916
_cell_length_c 10.751
_cell_angle_alpha 90.00
_cell_angle_beta 90.00
_cell_angle_gamma 90.00
_symmetry_space_group_name_H-M 'I 4/m m m'
_symmetry_Int_Tables_number 139
_symmetry_space_group_name_Hall '-I 4 2'
loop_
_atom_site_label
_atom_site_fract_x
_atom_site_fract_y
_atom_site_fract_z
Ca1 0.000 0.000 0.000
La1 0.000 0.500 0.250
Rh1 0.000 0.000 0.379
```

Output
Calculated formation energy ... -0.42 eV per atom
Uncorrected energy ... -33.106 eV per atom
Size of the total moment ... 0.00 μB/f.u.
Relative energy among the computed polymorphs ... 205 meV/atom
Calculated volume ... 25.98 A^3/atom

Entry from Alexandria via LeMat-Bulk: a PBEsol-optimized structure of CaLaRh (meta-GGA SCAN).

Geometry as CIF:
```
data_CaLaRh
_cell_length_a 4.0330
_cell_length_b 4.0330
_cell_length_c 6.5098
_cell_angle_alpha 90.00
_cell_angle_beta 90.00
_cell_angle_gamma 120.00
_symmetry_space_group_name_H-M 'P 3 m 1'
_symmetry_Int_Tables_number 156
loop_
_symmetry_equiv_pos_as_xyz
'x,y,z'
'-y,x-y,z'
'-x+y,-x,z'
'-y,-x,z'
'-x+y,y,z'
'x,x-y,z'
loop_
_atom_site_label
_atom_site_fract_x
_atom_site_fract_y
_atom_site_fract_z
Ca1 0.0000 0.0000 0.0000
La1 0.3333 0.6667 0.4757
Rh1 0.6667 0.3333 0.2601
```

Output
Calculated formation energy ... -0.50 eV per atom
Uncorrected energy ... -29.347 eV per atom
Size of the total moment ... 0.00 μB/f.u.
Relative energy among the computed polymorphs ... 0 meV/atom
Calculated volume ... 30.57 A^3/atom